Pm5Zn2Pd2 after structural relaxation. Source: Alexandria, functional PBE-GGA.

Calculated values
Space-group type: Cmce
Total magnetic moment, μB/cell: 0.0
Formation energy, meV/atom: -437

Unit cell a=8.5518 b=8.5518 c=8.4593 alpha=90.00 beta=90.00 gamma=49.96
Positions (direct):
Pm (0.0000, 0.0000, 0.0000)
Pm (0.0344, 0.6986, 0.6803)
Pm (0.1986, 0.5344, 0.1803)
Pm (0.3014, 0.9656, 0.6803)
Pm (0.4656, 0.8014, 0.1803)
Pm (0.5000, 0.5000, 0.5000)
Pm (0.5344, 0.1986, 0.8197)
Pm (0.6986, 0.0344, 0.3197)
Pm (0.8014, 0.4656, 0.8197)
Pm (0.9656, 0.3014, 0.3197)
Zn (0.2094, 0.2094, 0.0000)
Zn (0.2906, 0.2906, 0.5000)
Zn (0.7094, 0.7094, 0.5000)
Zn (0.7906, 0.7906, 0.0000)
Pd (0.1252, 0.8748, 0.3749)
Pd (0.3748, 0.6252, 0.8749)
Pd (0.6252, 0.3748, 0.1251)
Pd (0.8748, 0.1252, 0.6251)

***

ZrPb2F8 after structural relaxation. Source: Alexandria, functional PBE-GGA.

Calculated values
Uncorrected formation energy, eV/atom: -2.99
Space-group type: Pnma
Total magnetic moment, μB/cell: 0.0

Unit cell a=9.9403 b=5.6367 c=11.6991 alpha=90.00 beta=90.00 gamma=90.00
Positions (direct):
Zr (0.2388, 0.2500, 0.1442)
Zr (0.2612, 0.7500, 0.6442)
Zr (0.7388, 0.2500, 0.3558)
Zr (0.7612, 0.7500, 0.8558)
Pb (0.0224, 0.7500, 0.3283)
Pb (0.1556, 0.7500, 0.9467)
Pb (0.3444, 0.2500, 0.4467)
Pb (0.4776, 0.2500, 0.8283)
Pb (0.5224, 0.7500, 0.1717)
Pb (0.6556, 0.7500, 0.5533)
Pb (0.8444, 0.2500, 0.0533)
Pb (0.9776, 0.2500, 0.6717)
F (0.0992, 0.5244, 0.1487)
F (0.0992, 0.9756, 0.1487)
F (0.1355, 0.2500, 0.9829)
F (0.1447, 0.5150, 0.7509)
F (0.1447, 0.9850, 0.7509)
F (0.1500, 0.2500, 0.3176)
F (0.1514, 0.5080, 0.5371)
F (0.1514, 0.9920, 0.5371)
F (0.3486, 0.0080, 0.0371)
F (0.3486, 0.4920, 0.0371)
F (0.3500, 0.7500, 0.8176)
F (0.3553, 0.0150, 0.2509)
F (0.3553, 0.4850, 0.2509)
F (0.3645, 0.7500, 0.4829)
F (0.4008, 0.0244, 0.6487)
F (0.4008, 0.4756, 0.6487)
F (0.5992, 0.5244, 0.3513)
F (0.5992, 0.9756, 0.3513)
F (0.6355, 0.2500, 0.5171)
F (0.6447, 0.5150, 0.7491)
F (0.6447, 0.9850, 0.7491)
F (0.6500, 0.2500, 0.1824)
F (0.6514, 0.5080, 0.9629)
F (0.6514, 0.9920, 0.9629)
F (0.8486, 0.0080, 0.4629)
F (0.8486, 0.4920, 0.4629)
F (0.8500, 0.7500, 0.6824)
F (0.8553, 0.0150, 0.2491)
F (0.8553, 0.4850, 0.2491)
F (0.8645, 0.7500, 0.0171)
F (0.9008, 0.0244, 0.8513)
F (0.9008, 0.4756, 0.8513)

***

Y4Te5O after structural relaxation. Source: Alexandria, functional PBE-GGA.

Calculated values
Uncorrected formation energy, eV/atom: -1.49
Space-group type: C2/m
Total magnetic moment, μB/cell: 0.0

Unit cell a=8.6228 b=8.6228 c=11.0191 alpha=106.34 beta=106.34 gamma=29.93
Positions (direct):
Y (0.0032, 0.0032, 0.3109)
Y (0.3717, 0.3717, 0.9384)
Y (0.6283, 0.6283, 0.0616)
Y (0.9968, 0.9968, 0.6891)
Te (0.1593, 0.1593, 0.8763)
Te (0.1656, 0.1656, 0.2704)
Te (0.5000, 0.5000, 0.5000)
Te (0.8344, 0.8344, 0.7296)
Te (0.8407, 0.8407, 0.1237)
O (0.5000, 0.5000, 0.0000)

***

LiAc2TiPt6 after structural relaxation. Source: Alexandria, functional PBE-GGA.

Calculated values
Space-group type: C2/m
Total magnetic moment, μB/cell: 0.0
Formation energy, meV/atom: -845

Unit cell a=6.7270 b=6.7270 c=8.4148 alpha=127.02 beta=127.02 gamma=48.91
Positions (direct):
Li (0.0000, 0.0000, 0.0000)
Ac (0.2603, 0.2603, 0.8064)
Ac (0.7397, 0.7397, 0.1936)
Ti (0.5000, 0.5000, 0.5000)
Pt (0.2401, 0.7534, 0.7422)
Pt (0.2466, 0.7599, 0.2578)
Pt (0.2491, 0.2491, 0.4012)
Pt (0.7509, 0.7509, 0.5988)
Pt (0.7534, 0.2401, 0.7422)
Pt (0.7599, 0.2466, 0.2578)

***

SrZnNi2 after structural relaxation. Source: Alexandria, functional PBE-GGA.

Calculated values
Space-group type: R3m
Total magnetic moment, μB/cell: 0.0
Formation energy, meV/atom: -160

Unit cell a=5.8080 b=5.8080 c=5.8080 alpha=42.03 beta=42.03 gamma=42.03
Positions (direct):
Sr (0.0000, 0.0000, 0.0000)
Zn (0.8114, 0.8114, 0.8114)
Ni (0.1887, 0.1887, 0.1887)
Ni (0.5059, 0.5059, 0.5059)

***

InFePtAu after structural relaxation. Source: Alexandria, functional PBE-GGA.

Calculated values
Space-group type: F-43m
Total magnetic moment, μB/cell: 3.3
Formation energy, meV/atom: -66

Unit cell a=4.5793 b=4.5793 c=4.5793 alpha=60.00 beta=60.00 gamma=60.00
Positions (direct):
In (0.0000, 0.0000, 0.0000)
Fe (0.5000, 0.5000, 0.5000)
Pt (0.7500, 0.7500, 0.7500)
Au (0.2500, 0.2500, 0.2500)

***

Question: Look up the total magnetic moment of the first one.
Answer: 0.0 μB/cell

***

Question: total magnetic moment of number 1 (Pm5Zn2Pd2)?
Answer: 0.0 μB/cell